Compound: Cs3CaTh3Se8
Source: Alexandria via LeMat-Bulk
Functional: PBE
Structure: optimized geometry

Properties
* crystal system: trigonal
* uncorrected formation energy: -1.6586 eV per atom

Unit cell a=8.6583 b=8.6583 c=25.5490 alpha=90.00 beta=90.00 gamma=120.00
Space group R-3m (No. 166, hexagonal axes)
Unique sites:
Cs (0.0000, 0.5000, 0.0000) [9 per cell]
Ca (0.0000, 0.0000, 0.5000) [3 per cell]
Th (0.0000, 0.5000, 0.5000) [9 per cell]
Se (0.0000, 0.0000, 0.2308) [6 per cell]
Se (0.0088, 0.5044, 0.7713) [18 per cell]

Compound: BaSbRu2
Source: Alexandria via LeMat-Bulk
Functional: PBE
Structure: optimized geometry

Properties
* crystal system: trigonal
* uncorrected formation energy: -0.0038 eV per atom

Unit cell a=4.6097 b=4.6097 c=17.4607 alpha=90.00 beta=90.00 gamma=120.00
Space group R-3m (No. 166, hexagonal axes)
Unique sites:
Ba (0.0000, 0.0000, 0.0000) [3 per cell]
Sb (0.0000, 0.0000, 0.5000) [3 per cell]
Ru (0.0000, 0.0000, 0.1832) [6 per cell]

Compound: TiSnOs2
Source: Alexandria via LeMat-Bulk
Functional: PBE
Structure: optimized geometry

Properties
* energy of formation from the pure elements: -0.0476 eV per atom
* crystal system: monoclinic

Unit cell a=8.958 b=3.904 c=8.226 alpha=90.00 beta=114.41 gamma=90.00
Space group C2/m (No. 12)
Unique sites:
Ti (0.014, 0.000, 0.288) [4 per cell]
Sn (0.250, 0.000, 0.143) [4 per cell]
Os (0.000, 0.500, 0.000) [2 per cell]
Os (0.000, 0.500, 0.500) [2 per cell]
Os (0.248, 0.000, 0.613) [4 per cell]

Compound: BiSN2O
Source: Alexandria via LeMat-Bulk
Functional: PBE
Structure: optimized geometry

Properties
* crystal system: tetragonal
* uncorrected formation energy: 1.8008 eV per atom

Unit cell a=4.391 b=4.391 c=4.079 alpha=90.00 beta=90.00 gamma=90.00
Space group P4/mmm (No. 123)
Unique sites:
Bi (0.000, 0.000, 0.000) [1 per cell]
S (0.500, 0.500, 0.500) [1 per cell]
N (0.000, 0.500, 0.000) [2 per cell]
O (0.000, 0.000, 0.500) [1 per cell]

Compound: DyTmMnCu
Source: Alexandria via LeMat-Bulk
Functional: PBE
Structure: optimized geometry

Properties
* energy of formation from the pure elements: 0.0145 eV per atom
* crystal system: cubic

Unit cell a=6.954 b=6.954 c=6.954 alpha=90.00 beta=90.00 gamma=90.00
Space group F-43m (No. 216)
Unique sites:
Dy (0.000, 0.000, 0.000) [4 per cell]
Tm (0.000, 0.000, 0.500) [4 per cell]
Mn (0.250, 0.250, 0.750) [4 per cell]
Cu (0.250, 0.250, 0.250) [4 per cell]

Compound: Sr2CdGaPt
Source: Alexandria via LeMat-Bulk
Functional: PBE
Structure: optimized geometry

Properties
* energy of formation from the pure elements: -0.5076 eV per atom
* crystal system: tetragonal

Unit cell a=5.908 b=5.908 c=4.807 alpha=90.00 beta=90.00 gamma=90.00
Space group P4/mmm (No. 123)
Unique sites:
Sr (0.000, 0.500, 0.000) [2 per cell]
Cd (0.000, 0.000, 0.500) [1 per cell]
Ga (0.500, 0.500, 0.500) [1 per cell]
Pt (0.500, 0.500, 0.000) [1 per cell]

| no. | V (Å³/f.u.) | calculated total energy (hartree per atom) |
| --- | --- | --- |
| 1 | 552.9 | -0.1950 |
| 2 | 107.1 | -0.2261 |
| 3 | 65.5 | -0.3174 |
| 4 | 78.7 | -0.1515 |
| 5 | 84.1 | -0.2047 |
| 6 | 167.8 | -0.1167 |